(1)
20
Lattice="5.179 -3.751 0.000 5.179 3.751 0.000 -3.721 0.000 5.268" Properties=species:S:1:pos:R:3 comment="CdH6N2O | the Alexandria database | PBE-GGA | optimized geometry" sg="No. 15" n_ef_per_ev_atom=0.00 dft_energy_ev_per_cell=-93.67 pbc="T T T"
Cd 2.389 3.489 3.951
Cd 4.249 -3.489 1.317
H -0.221 1.078 3.921
H 2.933 1.662 1.657
H 2.273 0.726 3.192
H 5.564 1.662 0.977
H 1.640 -1.078 1.287
H 2.504 0.726 4.709
H 4.133 -0.726 0.558
H 4.998 1.078 3.980
H 1.073 -1.662 4.291
H 4.365 -0.726 2.075
H 3.704 -1.662 3.610
H 6.858 -1.078 1.346
N 2.541 2.582 1.889
N 5.957 2.582 0.745
N 0.680 -2.582 4.523
N 4.097 -2.582 3.379
O 2.389 0.112 3.951
O 4.249 -0.112 1.317

(2)
4
Lattice="1.509 0.871 5.009 -1.509 0.871 5.009 0.000 -1.743 5.009" Properties=species:S:1:pos:R:3 comment="BHRu2 | the Alexandria database | PBE-GGA | optimized geometry" sg="No. 160" n_ef_per_ev_atom=0.77 polymorph_energy_mev_per_atom=14.6 pbc="T T T"
B 0.000 0.000 0.000
H 0.000 0.000 2.822
Ru 0.000 0.000 6.141
Ru 0.000 0.000 8.755

(3)
5
Lattice="4.978 0.000 0.000 0.000 4.978 0.000 0.000 0.000 4.978" Properties=species:S:1:pos:R:3 comment="Ce3NdH | the Alexandria database | PBE-GGA | optimized geometry" sg="No. 221" n_ef_per_ev_atom=2.44 dft_energy_ev_per_cell=-26.24 pbc="T T T"
Ce 0.000 0.000 2.489
Ce 0.000 2.489 0.000
Ce 2.489 0.000 0.000
Nd 2.489 2.489 2.489
H 0.000 0.000 0.000

(4)
14
Lattice="2.076 -6.020 0.000 2.076 6.020 0.000 0.000 0.000 9.139" Properties=species:S:1:pos:R:3 comment="AlGe2Pd4 | the Alexandria database | PBE-GGA | optimized geometry" sg="No. 63" n_ef_per_ev_atom=0.46 dft_energy_ev_per_cell=-73.74 pbc="T T T"
Al 2.076 3.881 6.855
Al 2.076 -3.881 2.285
Ge 2.076 1.328 5.384
Ge 2.076 1.328 8.325
Ge 2.076 -1.328 0.814
Ge 2.076 -1.328 3.756
Pd 0.000 0.000 0.000
Pd 0.000 0.000 4.570
Pd 2.076 3.215 0.917
Pd 2.076 3.215 3.652
Pd 2.076 0.698 2.285
Pd 2.076 -0.698 6.855
Pd 2.076 -3.215 5.487
Pd 2.076 -3.215 8.222